[1]
Below is a relaxed Pm2EuTc crystal, with properties calculated at the GGA-PBE level.

```
4
Lattice="3.5531 0.0000 0.0000 0.0000 3.5531 0.0000 0.0000 0.0000 9.5094" Properties=species:S:1:pos:R:3 pbc="T T T"
Pm 0.0000 0.0000 1.6765
Pm 0.0000 0.0000 7.8330
Eu 1.7766 1.7766 4.7547
Tc 1.7766 1.7766 0.0000
```

Properties
**Energy of formation**: 0.085 eV per atom
**Symmetry**: P4/mmm, No. 123
**Relative energy among the computed polymorphs**: 0 meV per atom
**Total moment**: 7.80 μB/f.u.

---

[2]
Below is a relaxed PaSi2Mo4 crystal, with properties calculated at the GGA-PBE level.

```
7
Lattice="2.1968 -6.4591 0.0000 2.1968 6.4591 0.0000 0.0000 0.0000 4.3297" Properties=species:S:1:pos:R:3 pbc="T T T"
Pa 0.0000 0.0000 0.0000
Si 2.1968 1.1772 2.1649
Si 2.1968 -1.1772 2.1649
Mo 2.1968 4.0044 2.1649
Mo 2.1968 2.5023 0.0000
Mo 2.1968 -2.5023 0.0000
Mo 2.1968 -4.0044 2.1649
```

Properties
**Total energy**: -9.301 eV/atom
**Symmetry**: Cmmm, No. 65
**Total moment**: 0.00 μB/f.u.

---

[3]
Below is a relaxed KNaAg2Rh crystal, with properties calculated at the GGA-PBE level.

```
5
Lattice="5.0013 0.0000 0.0000 0.0000 5.0013 0.0000 0.0000 0.0000 5.0470" Properties=species:S:1:pos:R:3 pbc="T T T"
K 0.0000 0.0000 0.0000
Na 0.0000 0.0000 2.5235
Ag 0.0000 2.5006 2.5235
Ag 2.5006 0.0000 2.5235
Rh 2.5006 2.5006 0.0000
```

Properties
**Energy of formation**: 1.057 eV per atom
**Symmetry**: P4/mmm, No. 123
**Total moment**: 0.00 μB/f.u.

---

[4]
Below is a relaxed YCoHg crystal, with properties calculated at the GGA-PBE level.

```
3
Lattice="4.5011 0.0000 0.0000 -2.2506 3.8981 0.0000 0.0000 0.0000 3.5971" Properties=species:S:1:pos:R:3 pbc="T T T"
Y 0.0000 0.0000 0.0000
Co 2.2506 1.2994 1.7986
Hg 0.0000 2.5987 1.7986
```

Properties
**Energy of formation**: -0.076 eV per atom
**Symmetry**: P-6m2, No. 187
**Total moment**: 0.93 μB/f.u.

---

[5]
Below is a relaxed TbSmIr crystal, with properties calculated at the GGA-PBE level.

```
3
Lattice="0.0000 3.4389 3.4389 3.4389 0.0000 3.4389 3.4389 3.4389 0.0000" Properties=species:S:1:pos:R:3 pbc="T T T"
Tb 0.0000 0.0000 0.0000
Sm 3.4389 3.4389 3.4389
Ir 5.1583 5.1583 5.1583
```

Properties
**Energy of formation**: -0.626 eV per atom
**Symmetry**: F-43m, No. 216
**Relative energy among the computed polymorphs**: 0 meV per atom
**Total moment**: 0.00 μB/f.u.

---

[6]
Below is a relaxed Y2Ga2As crystal, with properties calculated at the GGA-PBE level.

```
10
Lattice="7.5101 0.0000 0.0000 0.0000 7.5101 0.0000 0.0000 0.0000 4.4674" Properties=species:S:1:pos:R:3 pbc="T T T"
Y 1.2948 2.4603 0.0000
Y 2.4603 6.2153 0.0000
Y 5.0498 1.2948 0.0000
Y 6.2153 5.0498 0.0000
Ga 0.9444 4.6994 2.2337
Ga 2.8106 0.9444 2.2337
Ga 4.6994 6.5656 2.2337
Ga 6.5656 2.8106 2.2337
As 0.0000 0.0000 0.0000
As 3.7550 3.7550 0.0000
```

Properties
**Energy of formation**: -0.584 eV per atom
**Symmetry**: P4/mbm, No. 127
**Relative energy among the computed polymorphs**: 77 meV per atom
**Total moment**: 0.00 μB/f.u.

---

[7]
Below is a relaxed Ga2P2Pb crystal, with properties calculated at the GGA-PBE level.

```
5
Lattice="-2.0406 2.0406 6.5078 2.0406 -2.0406 6.5078 2.0406 2.0406 -6.5078" Properties=species:S:1:pos:R:3 pbc="T T T"
Ga 2.0406 0.0000 3.2539
Ga 0.0000 2.0406 3.2539
P 0.0000 0.0000 1.7497
P 0.0000 0.0000 11.2659
Pb 0.0000 0.0000 6.5078
```

Properties
**Energy of formation**: 0.095 eV per atom
**Symmetry**: I4/mmm, No. 139
**Relative energy among the computed polymorphs**: 6 meV per atom
**Total moment**: 0.00 μB/f.u.

---

[8]
Below is a relaxed Ce8Tl4Pb3 crystal, with properties calculated at the GGA-PBE level.

```
15
Lattice="6.4629 -6.4709 0.0000 6.4629 6.4709 0.0000 -3.3852 0.0000 5.6982" Properties=species:S:1:pos:R:3 pbc="T T T"
Ce 6.4629 4.3672 0.0000
Ce 2.9712 0.0000 0.1682
Ce 1.5669 0.0000 2.6534
Ce 4.7703 3.2336 2.8491
Ce 4.7703 -3.2336 2.8491
Ce 7.9736 0.0000 3.0448
Ce 6.5693 0.0000 5.5300
Ce 6.4629 -4.3672 0.0000
Tl 3.2314 3.2355 0.0000
Tl 3.2314 -3.2355 0.0000
Tl 6.4629 0.0000 0.0000
Tl 4.7703 0.0000 2.8491
Pb -1.6926 0.0000 2.8491
Pb 1.5388 3.2355 2.8491
Pb 1.5388 -3.2355 2.8491
```

Properties
**Energy of formation**: -0.062 eV per atom
**Symmetry**: C2/m, No. 12
**Total moment**: 8.24 μB/f.u.

---

[9]
Below is a relaxed Mg3In12Sn5 crystal, with properties calculated at the GGA-PBE level.

```
80
Lattice="-8.5736 8.5736 8.5736 8.5736 -8.5736 8.5736 8.5736 8.5736 -8.5736" Properties=species:S:1:pos:R:3 pbc="T T T"
Mg 4.2868 2.1434 0.0000
Mg 8.5736 4.2868 -2.1434
Mg 2.1434 0.0000 4.2868
Mg 10.7170 0.0000 4.2868
Mg 0.0000 4.2868 2.1434
Mg 4.2868 -2.1434 8.5736
Mg 4.2868 10.7170 0.0000
Mg 8.5736 4.2868 6.4302
Mg -2.1434 8.5736 4.2868
Mg 6.4302 8.5736 4.2868
Mg 0.0000 4.2868 10.7170
Mg 4.2868 6.4302 8.5736
In 2.5728 -0.3925 1.4808
In 10.2877 5.7676 -4.6793
In 8.1812 -1.4808 2.5728
In 13.2529 -1.7141 2.8060
In 11.1464 0.3925 1.4808
In 10.2877 -2.8060 4.6793
In 1.4808 2.5728 -0.3925
In 11.3797 3.8943 -1.7141
In 5.7676 4.6793 -1.7141
In 7.0929 2.5728 0.3925
In -0.3925 1.4808 2.5728
In 4.6793 -1.7141 5.7676
In 8.1812 7.0929 -2.5728
In 4.6793 1.7141 2.8060
In 7.0929 -2.5728 8.1812
In 5.7676 -4.6793 10.2877
In 2.8060 4.6793 1.7141
In 10.0544 6.0009 0.3925
In 2.5728 8.1812 -1.4808
In 10.2877 2.8060 3.8943
In 4.6793 10.2877 -2.8060
In 8.1812 1.4808 6.0009
In 1.7141 2.8060 4.6793
In 2.5728 0.3925 7.0929
In 6.0009 8.1812 1.4808
In 6.8596 5.7676 3.8943
In 0.3925 7.0929 2.5728
In 3.8943 -1.7141 11.3797
In -1.7141 5.7676 4.6793
In 6.0009 0.3925 10.0544
In -1.4808 2.5728 8.1812
In 5.7676 3.8943 6.8596
In 2.8060 13.2529 -1.7141
In 1.4808 11.1464 0.3925
In 3.8943 6.8596 5.7676
In 0.3925 1.4808 11.1464
In 3.8943 10.2877 2.8060
In 8.9661 7.0929 6.0009
In 1.4808 6.0009 8.1812
In 2.8060 3.8943 10.2877
In -2.8060 4.6793 10.2877
In 7.0929 6.0009 8.9661
In -1.7141 11.3797 3.8943
In -2.5728 8.1812 7.0929
In -4.6793 10.2877 5.7676
In 0.3925 10.0544 6.0009
In -1.7141 2.8060 13.2529
In 6.0009 8.9661 7.0929
Sn 0.0000 0.0000 0.0000
Sn 4.2868 4.2868 -4.2868
Sn 4.2868 -4.2868 4.2868
Sn 8.5736 0.0000 0.0000
Sn 12.8604 2.1434 0.0000
Sn 8.5736 -4.2868 6.4302
Sn 6.4302 8.5736 -4.2868
Sn 6.4302 0.0000 4.2868
Sn 4.2868 6.4302 0.0000
Sn 8.5736 4.2868 2.1434
Sn -4.2868 4.2868 4.2868
Sn 0.0000 8.5736 0.0000
Sn 0.0000 0.0000 8.5736
Sn 4.2868 4.2868 4.2868
Sn 0.0000 4.2868 6.4302
Sn 4.2868 2.1434 8.5736
Sn 2.1434 8.5736 4.2868
Sn 2.1434 0.0000 12.8604
Sn 0.0000 12.8604 2.1434
Sn -4.2868 6.4302 8.5736
```

Properties
**Energy of formation**: 0.140 eV per atom
**Symmetry**: Ia-3d, No. 230
**Total moment**: 0.00 μB/f.u.

---

[10]
Below is a relaxed P2Ir2Au crystal, with properties calculated at the GGA-PBE level.

```
5
Lattice="-1.8856 1.8856 5.5944 1.8856 -1.8856 5.5944 1.8856 1.8856 -5.5944" Properties=species:S:1:pos:R:3 pbc="T T T"
P 1.8856 0.0000 2.7972
P 0.0000 1.8856 2.7972
Ir 0.0000 0.0000 1.4181
Ir 0.0000 0.0000 9.7707
Au 0.0000 0.0000 5.5944
```

Properties
**Energy of formation**: -0.118 eV per atom
**Symmetry**: I4/mmm, No. 139
**Total moment**: 0.00 μB/f.u.

---

[11]
Below is a relaxed Er8C3O4 crystal, with properties calculated at the GGA-PBE level.

```
15
Lattice="3.4718 2.0044 6.0328 -3.4718 2.0044 6.0328 0.0000 -4.0089 6.0328" Properties=species:S:1:pos:R:3 pbc="T T T"
Er 0.0000 0.0000 4.3314
Er -1.7390 -1.0040 10.4371
Er 0.0000 -2.0081 7.6612
Er -1.7390 1.0040 7.6612
Er 1.7390 -1.0040 10.4371
Er 0.0000 2.0081 10.4371
Er 1.7390 1.0040 7.6612
Er 0.0000 0.0000 13.7669
C -3.4718 0.0000 9.0492
C -1.7359 1.0022 3.0164
C 1.7359 1.0022 3.0164
O 0.0000 0.0000 0.0000
O 0.0000 0.0000 6.4846
O 0.0000 0.0000 9.0492
O 0.0000 0.0000 11.6137
```

Properties
**Total energy**: -7.268 eV/atom
**Symmetry**: R-3m, No. 166
**Total moment**: 0.00 μB/f.u.

---

[12]
Below is a relaxed ScHgB crystal, with properties calculated at the GGA-PBE level.

```
6
Lattice="4.4282 0.0000 0.0000 -2.2141 3.8349 0.0000 0.0000 0.0000 5.7886" Properties=species:S:1:pos:R:3 pbc="T T T"
Sc 0.0000 2.5566 1.4471
Sc 2.2141 1.2783 4.3414
Hg 0.0000 0.0000 0.0000
Hg 0.0000 0.0000 2.8943
B 0.0000 2.5566 4.3414
B 2.2141 1.2783 1.4471
```

Properties
**Energy of formation**: 0.287 eV per atom
**Symmetry**: P6_3/mmc, No. 194
**Relative energy among the computed polymorphs**: 799 meV per atom
**Total moment**: 0.00 μB/f.u.

---

Please write out number 4 again, unchanged.
Below is a relaxed YCoHg crystal, with properties calculated at the GGA-PBE level.

```
3
Lattice="4.5011 0.0000 0.0000 -2.2506 3.8981 0.0000 0.0000 0.0000 3.5971" Properties=species:S:1:pos:R:3 pbc="T T T"
Y 0.0000 0.0000 0.0000
Co 2.2506 1.2994 1.7986
Hg 0.0000 2.5987 1.7986
```

Properties
**Energy of formation**: -0.076 eV per atom
**Symmetry**: P-6m2, No. 187
**Total moment**: 0.93 μB/f.u.

---

> What is the total moment in the eighth record?

8.24 μB/f.u.

---

> What is the total moment in the eighth record?

8.24 μB/f.u.